1.
A relaxed AcCd2Sn2Hg crystal. Source: Alexandria, functional GGA-PBE.

abc: 5.1728 8.7892 7.8413
angles: 90.00 90.00 90.00
With the nearest neighbours (Å) after each atom.
Sites, in units of the cell vectors:
Sn  0.5000  0.1878  0.6945  4 Cd 2.93-3.28, 1 Hg 3.14
Sn  0.0000  0.6878  0.8055  4 Cd 2.93-3.28, 1 Hg 3.14
Sn  0.5000  0.8122  0.3055  4 Cd 2.93-3.28, 1 Hg 3.14
Sn  0.0000  0.3122  0.1945  4 Cd 2.93-3.28, 1 Hg 3.14
Cd  0.0000  0.3148  0.7980  4 Sn 2.93-3.28, 1 Hg 3.19
Cd  0.0000  0.6852  0.2020  4 Sn 2.93-3.28, 1 Hg 3.19
Cd  0.5000  0.1852  0.2980  4 Sn 2.93-3.28, 1 Hg 3.19
Cd  0.5000  0.8148  0.7020  4 Sn 2.93-3.28, 1 Hg 3.19
Hg  0.5000  0.5000  0.5000  2 Sn 3.14, 2 Cd 3.19
Hg  0.0000  0.0000  0.0000  2 Sn 3.14, 2 Cd 3.19
Ac  0.0000  0.0000  0.5000  6 Sn 3.43-3.64, 6 Cd 3.44-3.62
Ac  0.5000  0.5000  0.0000  6 Sn 3.43-3.64, 6 Cd 3.44-3.62

Output
The space group is Pnnm. The value obtained for the energy of formation is -255 meV/atom.



2.
A relaxed Sm3UHg3Te8 crystal. Source: Alexandria, functional GGA-PBE.

abc: 8.8138 8.8130 9.6607
angles: 117.22 90.00 120.00
With the nearest neighbours (Å) after each atom.
Sites, in units of the cell vectors:
Hg  0.5000  0.5000  0.0000  6 Te 3.40-3.42
Hg  0.0000  0.0000  0.0000  6 Te 3.41
Hg  0.0000  0.5000  0.0000  6 Te 3.40-3.42
Sm  0.0000  0.5000  0.5000  6 Te 3.13-3.15
Sm  0.5000  0.0000  0.5000  6 Te 3.13-3.15
Sm  0.5000  0.5000  0.5000  6 Te 3.13-3.15
Te  0.2590  0.5180  0.2776  3 Sm 3.13, 3 Hg 3.41-3.42
Te  0.7410  0.4820  0.7224  3 Sm 3.13, 3 Hg 3.41-3.42
Te  0.7552  0.9858  0.7158  1 U 3.00, 2 Sm 3.15
Te  0.7694  0.0142  0.2842  1 U 3.00, 2 Sm 3.15
Te  0.2448  0.0142  0.2842  1 U 3.00, 2 Sm 3.15
Te  0.2306  0.9858  0.7158  1 U 3.00, 2 Sm 3.15
Te  0.7693  0.5386  0.2842  1 U 3.00, 2 Sm 3.15
Te  0.2307  0.4614  0.7158  1 U 3.00, 2 Sm 3.15
U  0.0000  0.0000  0.5000  6 Te 3.00

Output
The space group is C2/m. For the energy relative to the elements, uncorrected, the calculation gives -0.766 eV/atom.



3.
A relaxed BeCu2Pt2 crystal. Source: Alexandria, functional GGA-PBE.

abc: 3.1327 3.1327 7.3405
angles: 77.68 77.68 90.00
With the nearest neighbours (Å) after each atom.
Sites, in units of the cell vectors:
Cu  0.7500  0.2500  0.5000  4 Cu 2.22
Cu  0.2500  0.7500  0.5000  4 Cu 2.22
Pt  0.5954  0.5954  0.8092  4 Be 2.59, 1 Pt 2.67, 4 Cu 2.67
Pt  0.4046  0.4046  0.1908  4 Be 2.59, 1 Pt 2.67, 4 Cu 2.67
Be  0.0000  0.0000  0.0000  8 Pt 2.59

Output
The space group is I4/mmm. The energy above the most stable polymorph in this dataset is 442.2 meV per atom. The value obtained for the energy of formation is 31 meV/atom.



4.
A relaxed TcAgRh4 crystal. Source: Alexandria, functional GGA-PBE.

abc: 5.0894 5.0894 5.0894
angles: 60.00 60.00 60.00
With the nearest neighbours (Å) after each atom.
Sites, in units of the cell vectors:
Rh  0.6250  0.6250  0.6250  6 Rh 2.54-2.55
Rh  0.6250  0.6250  0.1249  6 Rh 2.54-2.55
Rh  0.1249  0.6250  0.6250  6 Rh 2.54-2.55
Rh  0.6250  0.1249  0.6250  6 Rh 2.54-2.55
Tc  0.2500  0.2500  0.2500  12 Rh 2.98, 4 Ag 3.12
Ag  0.0000  0.0000  0.0000  12 Rh 2.98, 4 Tc 3.12

Output
The space group is F-43m. The value obtained for the energy of formation is 414 meV/atom.



5.
A relaxed BaNiRh2 crystal. Source: Alexandria, functional GGA-PBE.

abc: 4.9665 4.9665 8.9176
angles: 73.83 73.83 90.00
With the nearest neighbours (Å) after each atom.
Sites, in units of the cell vectors:
Ni  0.2500  0.7500  0.5000  4 Rh 2.40
Ni  0.5000  0.5000  0.0000  4 Rh 2.40
Ba  0.0000  0.0000  0.0000  8 Rh 3.45, 4 Ni 3.51
Ba  0.7500  0.2500  0.5000  8 Rh 3.45, 4 Ni 3.51
Rh  0.8750  0.6246  0.7500  2 Ni 2.40, 2 Rh 2.48
Rh  0.3746  0.1250  0.2500  2 Ni 2.40, 2 Rh 2.48
Rh  0.3754  0.6250  0.2500  2 Ni 2.40, 2 Rh 2.48
Rh  0.3750  0.6254  0.7500  2 Ni 2.40, 2 Rh 2.48

Output
The space group is I4_1/amd. The value obtained for the energy of formation is 269 meV/atom.



6.
A relaxed Lu2OsO crystal. Source: Alexandria, functional GGA-PBE.

abc: 3.1336 3.1336 6.6626
angles: 90.00 90.00 90.00
With the nearest neighbours (Å) after each atom.
Sites, in units of the cell vectors:
O  0.5000  0.5000  0.5000  8 Lu 2.72
Os  0.5000  0.5000  0.0000  8 Lu 2.82, 4 Os 3.13
Lu  0.0000  0.0000  0.7373  4 O 2.72, 4 Os 2.82
Lu  0.0000  0.0000  0.2627  4 O 2.72, 4 Os 2.82

Output
The space group is P4/mmm. For the energy relative to the elements, uncorrected, the calculation gives -1.177 eV/atom. The energy above the most stable polymorph in this dataset is 249.8 meV per atom.



7.
A relaxed VSb2Te crystal. Source: Alexandria, functional GGA-PBE.

abc: 4.1601 5.3567 9.1587
angles: 90.00 90.00 112.34
With the nearest neighbours (Å) after each atom.
Sites, in units of the cell vectors:
V  0.2338  0.4708  0.2500  3 Te 2.88-2.94, 6 Sb 2.93-2.95
V  0.7662  0.5292  0.7500  3 Te 2.88-2.94, 6 Sb 2.93-2.95
Te  0.0632  0.1235  0.7500  3 V 2.88-2.94
Te  0.9368  0.8765  0.2500  3 V 2.88-2.94
Sb  0.6460  0.2921  0.0458  3 V 2.93-2.95, 3 Sb 3.01-3.06
Sb  0.3540  0.7079  0.5458  3 V 2.93-2.95, 3 Sb 3.01-3.06
Sb  0.3540  0.7079  0.9542  3 V 2.93-2.95, 3 Sb 3.01-3.06
Sb  0.6460  0.2921  0.4542  3 V 2.93-2.95, 3 Sb 3.01-3.06

Output
The space group is P2_1/m. For the energy relative to the elements, uncorrected, the calculation gives 0.036 eV/atom.



8.
A relaxed KCd2As crystal. Source: Alexandria, functional GGA-PBE.

abc: 5.2643 5.2643 5.2643
angles: 60.00 60.00 60.00
With the nearest neighbours (Å) after each atom.
Sites, in units of the cell vectors:
Cd  0.2500  0.2500  0.2500  4 Cd 3.22, 4 As 3.22
Cd  0.0000  0.0000  0.0000  4 Cd 3.22, 4 K 3.22
As  0.5000  0.5000  0.5000  4 Cd 3.22, 4 K 3.22
K  0.7500  0.7500  0.7500  4 Cd 3.22, 4 As 3.22

Output
The space group is F-43m. The value obtained for the energy of formation is 6 meV/atom.



So what do the calculations give for theoretical density? Going down the list: 8.29, 6.96, 12.72, 11.00, 6.60, 14.12, 7.42, 5.45 g/cm³.